1.
Compound: SrCr2H7
Source: the Alexandria database
Functional: PBE
Structure: relaxed

abc: 5.3244 5.3244 3.6880
angles: 90.00 90.00 118.49
Closest atoms and distances in Å follow each position.
Atoms (fractional coordinates):
Sr  0.0000  0.0000  0.0000  8 H 2.49
Cr  0.3093  0.6907  0.5000  7 H 1.74-1.84
Cr  0.6907  0.3093  0.5000  7 H 1.74-1.84
H  0.0368  0.3314  0.5000  2 Cr 1.77-1.79
H  0.3069  0.6931  0.0000  2 Cr 1.84
H  0.3314  0.0368  0.5000  2 Cr 1.77-1.79
H  0.5000  0.5000  0.5000  2 Cr 1.74
H  0.6686  0.9632  0.5000  2 Cr 1.77-1.79
H  0.6931  0.3069  0.0000  2 Cr 1.84
H  0.9632  0.6686  0.5000  2 Cr 1.77-1.79

Summary:
For the calculated total energy, the calculation gives -4.577 eV per atom. The space group is No. 65.


2.
Compound: Sr3CrH
Source: the Alexandria database
Functional: PBE
Structure: relaxed

abc: 5.4003 5.4003 5.4003
angles: 90.00 90.00 90.00
Closest atoms and distances in Å follow each position.
Atoms (fractional coordinates):
Sr  0.0000  0.0000  0.5000  2 H 2.70
Sr  0.0000  0.5000  0.0000  2 H 2.70
Sr  0.5000  0.0000  0.0000  2 H 2.70
Cr  0.5000  0.5000  0.5000  12 Sr 3.82
H  0.0000  0.0000  0.0000  6 Sr 2.70

Summary:
For the calculated total energy, the calculation gives -3.399 eV per atom. The space group is No. 221.


3.
Compound: SrTiCr2H
Source: the Alexandria database
Functional: PBE
Structure: relaxed

abc: 4.5267 4.5267 4.1098
angles: 90.00 90.00 90.00
Closest atoms and distances in Å follow each position.
Atoms (fractional coordinates):
Sr  0.0000  0.0000  0.0000  8 Cr 3.06, 4 Ti 3.20
Ti  0.5000  0.5000  0.0000  2 H 2.05
Cr  0.0000  0.5000  0.5000  2 H 2.26
Cr  0.5000  0.0000  0.5000  2 H 2.26
H  0.5000  0.5000  0.5000  2 Ti 2.05, 4 Cr 2.26

Summary:
For the calculated total energy, the calculation gives -5.740 eV per atom. The space group is No. 123.


4.
Compound: SrCr2HW
Source: the Alexandria database
Functional: PBE
Structure: relaxed

abc: 4.6131 4.6131 6.4234
angles: 90.00 90.00 90.00
Closest atoms and distances in Å follow each position.
Atoms (fractional coordinates):
Sr  0.0000  0.0000  0.0000  2 W 3.21, 4 H 3.26
Cr  0.0000  0.5000  0.5000  2 W 2.31
Cr  0.5000  0.0000  0.5000  2 W 2.31
H  0.5000  0.5000  0.0000  4 Sr 3.26
W  0.0000  0.0000  0.5000  4 Cr 2.31

Summary:
For the calculated total energy, the calculation gives -5.923 eV per atom. The space group is No. 123.


no.,theoretical density (Mg/m³)
1,3.59
2,3.33
3,4.74
4,4.57